# 1
Compound: ZnFe2Tc
Source: the Alexandria database
Functional: meta-GGA SCAN
Structure: single point on PBEsol structure

Cell: 2.599 2.599 7.072 Å, 90.00 90.00 90.00°
Atoms (fractional coordinates):
Fe 0.000 0.000 0.751
Fe 0.000 0.000 0.249
Zn 0.500 0.500 0.500
Tc 0.500 0.500 0.000

- volume (Å³ per atom) = 11.94
- formation energy (eV/atom) = 0.094



# 2
Compound: ZnFe2Tc
Source: the Alexandria database
Functional: meta-GGA SCAN
Structure: single point on PBEsol structure

Cell: 4.087 4.087 4.087 Å, 60.00 60.00 60.00°
Atoms (fractional coordinates):
Tc 0.500 0.500 0.500
Fe 0.750 0.750 0.750
Fe 0.000 0.000 0.000
Zn 0.250 0.250 0.250

- volume (Å³ per atom) = 12.07
- formation energy (eV/atom) = 0.105



# 3
Compound: Zr2FeTc
Source: the Alexandria database
Functional: meta-GGA SCAN
Structure: single point on PBEsol structure

Cell: 4.507 4.507 4.507 Å, 60.00 60.00 60.00°
Atoms (fractional coordinates):
Zr 0.250 0.250 0.250
Zr 0.750 0.750 0.750
Tc 0.500 0.500 0.500
Fe 0.000 0.000 0.000

- volume (Å³ per atom) = 16.19
- formation energy (eV/atom) = -0.308



# 4
Compound: Zr2FeTc
Source: the Alexandria database
Functional: meta-GGA SCAN
Structure: single point on PBEsol structure

Cell: 2.885 2.885 9.536 Å, 81.30 81.30 60.00°
Atoms (fractional coordinates):
Zr 0.760 0.760 0.719
Zr 0.993 0.993 0.021
Tc 0.239 0.239 0.283
Fe 0.508 0.508 0.477

- volume (Å³ per atom) = 16.92
- formation energy (eV/atom) = 0.289



# 5
Compound: Zr2FeTc
Source: the Alexandria database
Functional: meta-GGA SCAN
Structure: single point on PBEsol structure

Cell: 3.159 4.020 5.395 Å, 90.00 90.00 90.00°
Atoms (fractional coordinates):
Zr 0.500 0.500 0.304
Zr 0.000 0.000 0.946
Fe 0.000 0.000 0.463
Tc 0.500 0.500 0.787

- volume (Å³ per atom) = 17.12
- formation energy (eV/atom) = 0.120



# 6
Compound: Zr2FeTc
Source: the Alexandria database
Functional: meta-GGA SCAN
Structure: single point on PBEsol structure

Cell: 3.188 3.188 6.366 Å, 90.00 90.00 90.00°
Atoms (fractional coordinates):
Zr 0.000 0.000 0.245
Zr 0.000 0.000 0.755
Fe 0.500 0.500 0.000
Tc 0.500 0.500 0.500

- volume (Å³ per atom) = 16.18
- formation energy (eV/atom) = -0.304